Here is crystalline MgPb at its relaxed geometry from Alexandria. Energies are from GGA-PBE.

```
MgPb
1.0
0.000 3.047 3.047
3.047 0.000 3.047
3.047 3.047 0.000
Mg Pb
1 1
Cartesian
0.000 0.000 0.000
3.047 3.047 3.047
```

Results
formation energy from the elements	0.28	eV/f.u.
calculated volume	28.29	Å³ per atom

=====

Here is crystalline MgPb at its relaxed geometry from Alexandria. Energies are from GGA-PBE.

```
MgPb
1.0
3.548 0.000 0.000
0.000 5.652 0.000
0.000 0.000 5.378
Mg Pb
2 2
Cartesian
0.887 1.413 0.486
2.661 4.239 4.892
0.887 4.239 2.168
2.661 1.413 3.210
```

Results
formation energy from the elements	-0.02	eV/f.u.
calculated volume	26.96	Å³ per atom

=====

Here is crystalline MgPb at its relaxed geometry from Alexandria. Energies are from GGA-PBE.

```
MgPb
1.0
4.694 0.000 0.000
-2.347 4.065 0.000
0.000 0.000 5.996
Mg Pb
2 2
Cartesian
0.000 0.000 0.000
0.000 0.000 2.998
0.000 2.710 1.499
2.347 1.355 4.497
```

Results
formation energy from the elements	0.13	eV/f.u.
calculated volume	28.60	Å³ per atom

=====

Here is crystalline Mg4Pb3 at its relaxed geometry from Alexandria. Energies are from GGA-PBE.

```
Mg4Pb3
1.0
-1.944 1.944 12.203
1.944 -1.944 12.203
1.944 1.944 -12.203
Mg Pb
4 3
Cartesian
0.000 0.000 1.628
0.000 0.000 8.918
0.000 0.000 15.488
0.000 0.000 22.778
0.000 0.000 4.846
0.000 0.000 12.203
0.000 0.000 19.559
```

Results
formation energy from the elements	-0.11	eV/f.u.
calculated volume	26.35	Å³ per atom

=====

Here is crystalline Mg5Pb at its relaxed geometry from Alexandria. Energies are from GGA-PBE.

```
Mg5Pb
1.0
5.898 0.000 0.000
-2.949 5.108 0.000
0.000 0.000 5.150
Mg Pb
5 1
Cartesian
-1.475 2.554 0.000
0.000 3.405 2.575
2.949 0.000 0.000
1.475 2.554 0.000
2.949 1.703 2.575
0.000 0.000 2.575
```

Results
formation energy from the elements	0.62	eV/f.u.
calculated volume	25.86	Å³ per atom

=====

Here is crystalline MgPb2 at its relaxed geometry from Alexandria. Energies are from GGA-PBE.

```
MgPb2
1.0
2.244 -7.481 0.000
2.244 7.481 0.000
0.000 0.000 5.058
Mg Pb
2 4
Cartesian
2.244 6.229 3.793
2.244 -6.229 1.264
2.244 3.701 1.264
2.244 1.134 3.793
2.244 -1.134 1.264
2.244 -3.701 3.793
```

Results
formation energy from the elements	-0.03	eV/f.u.
calculated volume	28.30	Å³ per atom

=====

Here is crystalline MgPb2 at its relaxed geometry from Alexandria. Energies are from GGA-PBE.

```
MgPb2
1.0
5.028 0.000 0.000
0.000 5.028 0.000
0.000 0.000 3.613
Mg Pb
1 2
Cartesian
0.000 0.000 0.000
0.000 2.514 1.807
2.514 0.000 1.807
```

Results
formation energy from the elements	0.19	eV/f.u.
calculated volume	30.45	Å³ per atom

=====

Here is crystalline Mg2Pb3 at its relaxed geometry from Alexandria. Energies are from GGA-PBE.

```
Mg2Pb3
1.0
4.580 2.644 3.902
-4.580 2.644 3.902
0.000 -5.289 3.902
Mg Pb
4 6
Cartesian
0.000 0.000 1.457
0.000 0.000 4.396
0.000 0.000 7.309
0.000 0.000 10.248
-3.124 -0.123 4.877
-1.456 -2.767 6.828
1.668 -2.644 4.877
-1.668 2.644 6.828
1.456 2.767 4.877
3.124 0.123 6.828
```

Results
formation energy from the elements	0.30	eV/f.u.
calculated volume	28.35	Å³ per atom

=====

| no. | spin magnetization (μB/cell) | uncorrected energy (eV per atom) |
| --- | --- | --- |
| 1 | 0.0 | -2.5131 |
| 2 | 0.0 | -2.6630 |
| 3 | 0.0 | -2.5847 |
| 4 | 0.0 | -2.5164 |
| 5 | 0.0 | -1.8432 |
| 6 | 0.0 | -3.0125 |
| 7 | 0.0 | -2.9412 |
| 8 | 0.0 | -2.8036 |